No. 1
A relaxed structure of SrNdAgSeS2. Source: OQMD via LeMat-Bulk, functional PBE-GGA.

The structure in CIF format:
```
data_SrNdAgSeS2
_chemical_formula_sum 'Sr4 Nd4 Ag4 Se4 S8'
_cell_length_a 4.1218
_cell_length_b 13.8155
_cell_length_c 10.8806
_cell_angle_alpha 90.00
_cell_angle_beta 90.00
_cell_angle_gamma 90.00
_space_group_name_H-M_alt 'C m c m'
_space_group_IT_number 63
_space_group_name_Hall '-C 2c 2'
loop_
_atom_site_label
_atom_site_fract_x
_atom_site_fract_y
_atom_site_fract_z
_atom_site_occupancy
Sr1 0.0000 0.2315 0.2500 1
Nd1 0.0000 0.0000 0.0000 1
Ag1 0.0000 0.4802 0.7500 1
Se1 0.0000 0.1011 0.7500 1
S1 0.0000 0.3657 0.5693 1
```

Calculated values
Magnetization (μB/atom): 0.0003
DFT total energy (eV/cell): -121.20

No. 2
A relaxed structure of SrNdAgSe2S. Source: OQMD via LeMat-Bulk, functional PBE-GGA.

The structure in CIF format:
```
data_SrNdAgSe2S
_chemical_formula_sum 'Sr4 Nd4 Ag4 Se8 S4'
_cell_length_a 4.2158
_cell_length_b 13.8315
_cell_length_c 10.6612
_cell_angle_alpha 90.00
_cell_angle_beta 90.00
_cell_angle_gamma 90.00
_space_group_name_H-M_alt 'C m c m'
_space_group_IT_number 63
_space_group_name_Hall '-C 2c 2'
loop_
_atom_site_label
_atom_site_fract_x
_atom_site_fract_y
_atom_site_fract_z
_atom_site_occupancy
Sr1 0.0000 0.2410 0.2500 1
Nd1 0.0000 0.5000 0.0000 1
Ag1 0.0000 0.0253 0.7500 1
Se1 0.0000 0.1472 0.5597 1
S1 0.0000 0.4162 0.7500 1
```

Calculated values
Magnetization (μB/atom): 0.0002
DFT total energy (eV/cell): -118.59

No. 3
A relaxed structure of Nd3SiAgS7. Source: OQMD via LeMat-Bulk, functional PBE-GGA.

The structure in CIF format:
```
data_Nd3SiAgS7
_chemical_formula_sum 'Nd6 Si2 Ag2 S14'
_cell_length_a 10.3090
_cell_length_b 10.3090
_cell_length_c 5.7698
_cell_angle_alpha 90.00
_cell_angle_beta 90.00
_cell_angle_gamma 120.00
_space_group_name_H-M_alt 'P 63'
_space_group_IT_number 173
loop_
_space_group_symop_operation_xyz
'x,y,z'
'x-y,x,z+1/2'
'-y,x-y,z'
'-x,-y,z+1/2'
'-x+y,-x,z'
'y,-x+y,z+1/2'
loop_
_atom_site_label
_atom_site_fract_x
_atom_site_fract_y
_atom_site_fract_z
_atom_site_occupancy
Nd1 0.1226 0.3594 0.0000 1
Si1 0.3333 0.6667 0.4122 1
Ag1 0.0000 0.0000 0.0473 1
S1 0.0906 0.2691 0.5148 1
S2 0.1153 0.5918 0.2655 1
S3 0.3333 0.6667 0.7783 1
```

Calculated values
Magnetization (μB/atom): 0.0004
DFT total energy (eV/cell): -139.05

No. 4
A relaxed structure of NdAgSnTe2S. Source: OQMD via LeMat-Bulk, functional PBE-GGA.

The structure in CIF format:
```
data_NdAgSnTe2S
_chemical_formula_sum 'Nd4 Ag4 Sn4 Te8 S4'
_cell_length_a 4.3718
_cell_length_b 14.5088
_cell_length_c 10.5847
_cell_angle_alpha 90.00
_cell_angle_beta 90.00
_cell_angle_gamma 90.00
_space_group_name_H-M_alt 'C m c m'
_space_group_IT_number 63
_space_group_name_Hall '-C 2c 2'
loop_
_atom_site_label
_atom_site_fract_x
_atom_site_fract_y
_atom_site_fract_z
_atom_site_occupancy
Nd1 0.0000 0.0000 0.0000 1
Ag1 0.0000 0.4817 0.2500 1
Sn1 0.0000 0.2717 0.7500 1
Te1 0.0000 0.3460 0.0615 1
S1 0.0000 0.0825 0.2500 1
```

Calculated values
Magnetization (μB/atom): 0.0000
DFT total energy (eV/cell): -106.18

No. 5
A relaxed structure of SrNdAgTeS2. Source: OQMD via LeMat-Bulk, functional PBE-GGA.

The structure in CIF format:
```
data_SrNdAgTeS2
_chemical_formula_sum 'Sr4 Nd4 Ag4 Te4 S8'
_cell_length_a 4.1541
_cell_length_b 14.5699
_cell_length_c 11.2922
_cell_angle_alpha 90.00
_cell_angle_beta 90.00
_cell_angle_gamma 90.00
_space_group_name_H-M_alt 'C m c m'
_space_group_IT_number 63
_space_group_name_Hall '-C 2c 2'
loop_
_atom_site_label
_atom_site_fract_x
_atom_site_fract_y
_atom_site_fract_z
_atom_site_occupancy
Sr1 0.0000 0.2084 0.2500 1
Nd1 0.0000 0.0000 0.0000 1
Ag1 0.0000 0.4872 0.7500 1
Te1 0.0000 0.1138 0.7500 1
S1 0.0000 0.3769 0.5762 1
```

Calculated values
Magnetization (μB/atom): 0.0004
DFT total energy (eV/cell): -117.14

No. 6
A relaxed structure of TbNdAg2Sb4. Source: OQMD via LeMat-Bulk, functional PBE-GGA.

The structure in CIF format:
```
data_TbNdAg2Sb4
_chemical_formula_sum 'Tb1 Nd1 Ag2 Sb4'
_cell_length_a 4.3762
_cell_length_b 4.3762
_cell_length_c 10.5610
_cell_angle_alpha 90.00
_cell_angle_beta 90.00
_cell_angle_gamma 90.00
_space_group_name_H-M_alt 'P 4 m m'
_space_group_IT_number 99
loop_
_space_group_symop_operation_xyz
'x,y,z'
'-y,x,z'
'-x,-y,z'
'y,-x,z'
'-x,y,z'
'y,x,z'
'x,-y,z'
'-y,-x,z'
loop_
_atom_site_label
_atom_site_fract_x
_atom_site_fract_y
_atom_site_fract_z
_atom_site_occupancy
Tb1 0.0000 0.0000 0.0000 1
Nd1 0.5000 0.5000 0.5259 1
Ag1 0.0000 0.5000 0.2582 1
Sb1 0.0000 0.0000 0.4395 1
Sb2 0.0000 0.5000 0.7666 1
Sb3 0.5000 0.5000 0.0774 1
```

Calculated values
Magnetization (μB/atom): 0.0004
DFT total energy (eV/cell): -36.80

No. 7
A relaxed structure of NdYAg2Sb4. Source: OQMD via LeMat-Bulk, functional PBE-GGA.

The structure in CIF format:
```
data_NdYAg2Sb4
_chemical_formula_sum 'Nd1 Y1 Ag2 Sb4'
_cell_length_a 4.3764
_cell_length_b 4.3764
_cell_length_c 10.5118
_cell_angle_alpha 90.00
_cell_angle_beta 90.00
_cell_angle_gamma 90.00
_space_group_name_H-M_alt 'P 4 m m'
_space_group_IT_number 99
loop_
_space_group_symop_operation_xyz
'x,y,z'
'-y,x,z'
'-x,-y,z'
'y,-x,z'
'-x,y,z'
'y,x,z'
'x,-y,z'
'-y,-x,z'
loop_
_atom_site_label
_atom_site_fract_x
_atom_site_fract_y
_atom_site_fract_z
_atom_site_occupancy
Nd1 0.0000 0.0000 0.0000 1
Y1 0.5000 0.5000 0.5249 1
Ag1 0.0000 0.5000 0.2670 1
Sb1 0.0000 0.0000 0.4481 1
Sb2 0.0000 0.5000 0.7585 1
Sb3 0.5000 0.5000 0.0853 1
```

Calculated values
Magnetization (μB/atom): 0.0002
DFT total energy (eV/cell): -38.61

No. 8
A relaxed structure of NdScAg. Source: OQMD via LeMat-Bulk, functional PBE-GGA.

The structure in CIF format:
```
data_NdScAg
_chemical_formula_sum 'Nd4 Sc4 Ag4'
_cell_length_a 6.8159
_cell_length_b 6.8159
_cell_length_c 6.8159
_cell_angle_alpha 90.00
_cell_angle_beta 90.00
_cell_angle_gamma 90.00
_space_group_name_H-M_alt 'F -4 3 m'
_space_group_IT_number 216
_space_group_name_Hall 'F -4 2 3'
loop_
_atom_site_label
_atom_site_fract_x
_atom_site_fract_y
_atom_site_fract_z
_atom_site_occupancy
Nd1 0.0000 0.0000 0.0000 1
Sc1 0.2500 0.2500 0.7500 1
Ag1 0.0000 0.0000 0.5000 1
```

Calculated values
Magnetization (μB/atom): 0.0004
DFT total energy (eV/cell): -50.60

No. 9
A relaxed structure of Nd2AgSe3. Source: OQMD via LeMat-Bulk, functional PBE-GGA.

The structure in CIF format:
```
data_Nd2AgSe3
_chemical_formula_sum 'Nd8 Ag4 Se12'
_cell_length_a 10.7901
_cell_length_b 4.0881
_cell_length_c 13.8720
_cell_angle_alpha 90.00
_cell_angle_beta 90.00
_cell_angle_gamma 90.00
_space_group_name_H-M_alt 'P n m a'
_space_group_IT_number 62
loop_
_space_group_symop_operation_xyz
'x,y,z'
'-x,-y,-z'
'-x+1/2,-y,z+1/2'
'x+1/2,y,-z+1/2'
'x+1/2,-y+1/2,-z+1/2'
'-x+1/2,y+1/2,z+1/2'
'-x,y+1/2,-z'
'x,-y+1/2,z'
loop_
_atom_site_label
_atom_site_fract_x
_atom_site_fract_y
_atom_site_fract_z
_atom_site_occupancy
Nd1 0.0169 0.2500 0.2456 1
Nd2 0.2242 0.7500 0.5190 1
Ag1 0.2343 0.2500 0.7296 1
Se1 0.0460 0.2500 0.6033 1
Se2 0.0909 0.7500 0.0979 1
Se3 0.2359 0.7500 0.8567 1
```

Calculated values
Energy relative to the lowest polymorph listed for this composition (eV/atom): 0.000
Magnetization (μB/atom): 0.0015
DFT total energy (eV/cell): -124.55

No. 10
A relaxed structure of NdAgSe2. Source: OQMD via LeMat-Bulk, functional PBE-GGA.

The structure in CIF format:
```
data_NdAgSe2
_chemical_formula_sum 'Nd4 Ag4 Se8'
_cell_length_a 6.9090
_cell_length_b 7.6755
_cell_length_c 7.4440
_cell_angle_alpha 90.00
_cell_angle_beta 97.48
_cell_angle_gamma 90.00
_space_group_name_H-M_alt 'P 1 21/c 1'
_space_group_IT_number 14
loop_
_space_group_symop_operation_xyz
'x,y,z'
'-x,-y,-z'
'-x,y+1/2,-z+1/2'
'x,-y+1/2,z+1/2'
loop_
_atom_site_label
_atom_site_fract_x
_atom_site_fract_y
_atom_site_fract_z
_atom_site_occupancy
Nd1 0.1959 0.0410 0.2969 1
Ag1 0.4206 0.6695 0.4599 1
Se1 0.0563 0.7291 0.5035 1
Se2 0.3873 0.1013 0.7054 1
```

Calculated values
Magnetization (μB/atom): 0.0008
DFT total energy (eV/cell): -77.63

No. 11
A relaxed structure of Nd2AgSe3. Source: OQMD via LeMat-Bulk, functional PBE-GGA.

The structure in CIF format:
```
data_Nd2AgSe3
_chemical_formula_sum 'Nd8 Ag4 Se12'
_cell_length_a 4.0942
_cell_length_b 13.8588
_cell_length_c 10.8113
_cell_angle_alpha 90.00
_cell_angle_beta 90.00
_cell_angle_gamma 90.00
_space_group_name_H-M_alt 'C m c m'
_space_group_IT_number 63
_space_group_name_Hall '-C 2c 2'
loop_
_atom_site_label
_atom_site_fract_x
_atom_site_fract_y
_atom_site_fract_z
_atom_site_occupancy
Nd1 0.0000 0.0000 0.0000 1
Nd2 0.0000 0.2294 0.2500 1
Ag1 0.0000 0.4787 0.7500 1
Se1 0.0000 0.1063 0.7500 1
Se2 0.0000 0.3502 0.5680 1
```

Calculated values
Energy relative to the lowest polymorph listed for this composition (eV/atom): 0.003
Magnetization (μB/atom): 0.0067
DFT total energy (eV/cell): -124.48

No. 12
A relaxed structure of Nd3SiAgSe7. Source: OQMD via LeMat-Bulk, functional PBE-GGA.

The structure in CIF format:
```
data_Nd3SiAgSe7
_chemical_formula_sum 'Nd6 Si2 Ag2 Se14'
_cell_length_a 10.7195
_cell_length_b 10.7195
_cell_length_c 6.0667
_cell_angle_alpha 90.00
_cell_angle_beta 90.00
_cell_angle_gamma 120.00
_space_group_name_H-M_alt 'P 63'
_space_group_IT_number 173
loop_
_space_group_symop_operation_xyz
'x,y,z'
'x-y,x,z+1/2'
'-y,x-y,z'
'-x,-y,z+1/2'
'-x+y,-x,z'
'y,-x+y,z+1/2'
loop_
_atom_site_label
_atom_site_fract_x
_atom_site_fract_y
_atom_site_fract_z
_atom_site_occupancy
Nd1 0.1270 0.7694 0.0000 1
Si1 0.3333 0.6667 0.4120 1
Ag1 0.0000 0.0000 0.0644 1
Se1 0.0967 0.8250 0.5187 1
Se2 0.1077 0.5218 0.2595 1
Se3 0.3333 0.6667 0.7870 1
```

Calculated values
Magnetization (μB/atom): 0.0004
DFT total energy (eV/cell): -126.10

No. 13
A relaxed structure of Nd3SiAgSe7. Source: OQMD via LeMat-Bulk, functional PBE-GGA.

The structure in CIF format:
```
data_Nd3SiAgSe7
_chemical_formula_sum 'Nd6 Si2 Ag2 Se14'
_cell_length_a 10.7147
_cell_length_b 10.7147
_cell_length_c 6.0841
_cell_angle_alpha 90.00
_cell_angle_beta 90.00
_cell_angle_gamma 120.00
_space_group_name_H-M_alt 'P 63'
_space_group_IT_number 173
loop_
_space_group_symop_operation_xyz
'x,y,z'
'x-y,x,z+1/2'
'-y,x-y,z'
'-x,-y,z+1/2'
'-x+y,-x,z'
'y,-x+y,z+1/2'
loop_
_atom_site_label
_atom_site_fract_x
_atom_site_fract_y
_atom_site_fract_z
_atom_site_occupancy
Nd1 0.1276 0.3578 0.0000 1
Si1 0.3333 0.6667 0.4101 1
Ag1 0.0000 0.0000 0.0630 1
Se1 0.0975 0.2721 0.5202 1
Se2 0.1073 0.5856 0.2587 1
Se3 0.3333 0.6667 0.7838 1
```

Calculated values
Magnetization (μB/atom): 0.0004
DFT total energy (eV/cell): -126.11

No. 14
A relaxed structure of NdSmAgSe3. Source: OQMD via LeMat-Bulk, functional PBE-GGA.

The structure in CIF format:
```
data_NdSmAgSe3
_chemical_formula_sum 'Nd4 Sm4 Ag4 Se12'
_cell_length_a 4.0573
_cell_length_b 13.8132
_cell_length_c 10.8129
_cell_angle_alpha 90.00
_cell_angle_beta 90.00
_cell_angle_gamma 90.00
_space_group_name_H-M_alt 'C m c m'
_space_group_IT_number 63
_space_group_name_Hall '-C 2c 2'
loop_
_atom_site_label
_atom_site_fract_x
_atom_site_fract_y
_atom_site_fract_z
_atom_site_occupancy
Nd1 0.0000 0.0000 0.0000 1
Sm1 0.0000 0.2267 0.2500 1
Ag1 0.0000 0.4807 0.7500 1
Se1 0.0000 0.1099 0.7500 1
Se2 0.0000 0.3498 0.5705 1
```

Calculated values
Energy relative to the lowest polymorph listed for this composition (eV/atom): 0.047
Magnetization (μB/atom): 0.0065
DFT total energy (eV/cell): -123.93

No. 15
A relaxed structure of NdSmAgSe3. Source: OQMD via LeMat-Bulk, functional PBE-GGA.

The structure in CIF format:
```
data_NdSmAgSe3
_chemical_formula_sum 'Nd2 Sm2 Ag2 Se6'
_cell_length_a 7.9073
_cell_length_b 4.1176
_cell_length_c 9.7771
_cell_angle_alpha 90.00
_cell_angle_beta 105.59
_cell_angle_gamma 90.00
_space_group_name_H-M_alt 'P 1 21/m 1'
_space_group_IT_number 11
loop_
_space_group_symop_operation_xyz
'x,y,z'
'-x,-y,-z'
'-x,y+1/2,-z'
'x,-y+1/2,z'
loop_
_atom_site_label
_atom_site_fract_x
_atom_site_fract_y
_atom_site_fract_z
_atom_site_occupancy
Nd1 0.2004 0.2500 0.1758 1
Sm1 0.2481 0.7500 0.7020 1
Ag1 0.3917 0.7500 0.4309 1
Se1 0.0854 0.2500 0.8574 1
Se2 0.1540 0.2500 0.4658 1
Se3 0.4693 0.7500 0.1767 1
```

Calculated values
Energy relative to the lowest polymorph listed for this composition (eV/atom): 0.000
Magnetization (μB/atom): 0.0004
DFT total energy (eV/cell): -62.53

No. 16
A relaxed structure of NdAgSnSe3. Source: OQMD via LeMat-Bulk, functional PBE-GGA.

The structure in CIF format:
```
data_NdAgSnSe3
_chemical_formula_sum 'Nd4 Ag4 Sn4 Se12'
_cell_length_a 4.1557
_cell_length_b 13.7827
_cell_length_c 10.8640
_cell_angle_alpha 90.00
_cell_angle_beta 90.00
_cell_angle_gamma 90.00
_space_group_name_H-M_alt 'C m c m'
_space_group_IT_number 63
_space_group_name_Hall '-C 2c 2'
loop_
_atom_site_label
_atom_site_fract_x
_atom_site_fract_y
_atom_site_fract_z
_atom_site_occupancy
Nd1 0.0000 0.0000 0.0000 1
Ag1 0.0000 0.4729 0.2500 1
Sn1 0.0000 0.2379 0.7500 1
Se1 0.0000 0.0973 0.2500 1
Se2 0.0000 0.3519 0.0625 1
```

Calculated values
Energy relative to the lowest polymorph listed for this composition (eV/atom): 0.000
Magnetization (μB/atom): 0.0001
DFT total energy (eV/cell): -109.81

No. 17
A relaxed structure of NdAgSnSe3. Source: OQMD via LeMat-Bulk, functional PBE-GGA.

The structure in CIF format:
```
data_NdAgSnSe3
_chemical_formula_sum 'Nd4 Ag4 Sn4 Se12'
_cell_length_a 11.7486
_cell_length_b 4.3641
_cell_length_c 12.0996
_cell_angle_alpha 90.00
_cell_angle_beta 90.00
_cell_angle_gamma 90.00
_space_group_name_H-M_alt 'P n m a'
_space_group_IT_number 62
loop_
_space_group_symop_operation_xyz
'x,y,z'
'-x,-y,-z'
'-x+1/2,-y,z+1/2'
'x+1/2,y,-z+1/2'
'x+1/2,-y+1/2,-z+1/2'
'-x+1/2,y+1/2,z+1/2'
'-x,y+1/2,-z'
'x,-y+1/2,z'
loop_
_atom_site_label
_atom_site_fract_x
_atom_site_fract_y
_atom_site_fract_z
_atom_site_occupancy
Nd1 0.0153 0.2500 0.1851 1
Ag1 0.2446 0.7500 0.2930 1
Sn1 0.1734 0.2500 0.5014 1
Se1 0.0326 0.7500 0.3677 1
Se2 0.0923 0.2500 0.9386 1
Se3 0.2231 0.7500 0.6690 1
```

Calculated values
Energy relative to the lowest polymorph listed for this composition (eV/atom): 0.005
Magnetization (μB/atom): 0.0002
DFT total energy (eV/cell): -109.69

No. 18
A relaxed structure of NdAgSnTeSe2. Source: OQMD via LeMat-Bulk, functional PBE-GGA.

The structure in CIF format:
```
data_NdAgSnTeSe2
_chemical_formula_sum 'Nd4 Ag4 Sn4 Te4 Se8'
_cell_length_a 4.1899
_cell_length_b 14.1900
_cell_length_c 11.3156
_cell_angle_alpha 90.00
_cell_angle_beta 90.00
_cell_angle_gamma 90.00
_space_group_name_H-M_alt 'C m c m'
_space_group_IT_number 63
_space_group_name_Hall '-C 2c 2'
loop_
_atom_site_label
_atom_site_fract_x
_atom_site_fract_y
_atom_site_fract_z
_atom_site_occupancy
Nd1 0.0000 0.0000 0.0000 1
Ag1 0.0000 0.4763 0.2500 1
Sn1 0.0000 0.2146 0.7500 1
Te1 0.0000 0.1099 0.2500 1
Se1 0.0000 0.3597 0.0668 1
```

Calculated values
Magnetization (μB/atom): 0.0004
DFT total energy (eV/cell): -106.64